(1)
# Ga2Se3 (PBE, optimized geometry)
# Formation energy (no corrections) in eV per atom: -0.40
data_Ga2Se3
_cell_length_a 6.5841
_cell_length_b 6.5841
_cell_length_c 17.8275
_cell_angle_alpha 90.00
_cell_angle_beta 90.00
_cell_angle_gamma 120.00
_symmetry_space_group_name_H-M 'R -3 c'
_symmetry_Int_Tables_number 167
_symmetry_space_group_name_Hall '-R 3 2"c'
loop_
_atom_site_label
_atom_site_type_symbol
_atom_site_fract_x
_atom_site_fract_y
_atom_site_fract_z
Ga1 Ga 0.0000 0.0000 0.1453
Se1 Se 0.0000 0.2995 0.2500

(2)
# PuTaMnTc (PBE, optimized geometry)
# Energy of formation in meV per atom: 26
data_PuTaMnTc
_cell_length_a 6.4598
_cell_length_b 6.4598
_cell_length_c 6.4598
_cell_angle_alpha 90.00
_cell_angle_beta 90.00
_cell_angle_gamma 90.00
_symmetry_space_group_name_H-M 'F -4 3 m'
_symmetry_Int_Tables_number 216
_symmetry_space_group_name_Hall 'F -4 2 3'
loop_
_atom_site_label
_atom_site_type_symbol
_atom_site_fract_x
_atom_site_fract_y
_atom_site_fract_z
Pu1 Pu 0.0000 0.0000 0.0000
Ta1 Ta 0.0000 0.0000 0.5000
Mn1 Mn 0.2500 0.2500 0.2500
Tc1 Tc 0.2500 0.2500 0.7500

| no. | magnetization (μB/cell) | total energy (hartree per atom) |
| --- | --- | --- |
| 1 | 0.0 | -0.136 |
| 2 | 13.3 | -0.419 |